[1]
# Na2VMo | the Alexandria database | PBE | optimized geometry
# relative energy among the computed polymorphs: 111 meV/atom
# formation energy: 1481 meV per atom
data_Na2VMo
_space_group_name_H-M_alt 'F m -3 m'
_space_group_IT_number 225
_space_group_name_Hall '-F 4 2 3'
_cell_length_a 7.044
_cell_length_b 7.044
_cell_length_c 7.044
_cell_angle_alpha 90.00
_cell_angle_beta 90.00
_cell_angle_gamma 90.00
loop_
_atom_site_label
_atom_site_type_symbol
_atom_site_fract_x
_atom_site_fract_y
_atom_site_fract_z
Na1 Na 0.250 0.250 0.250
V1 V 0.000 0.000 0.000
Mo1 Mo 0.000 0.000 0.500

[2]
# Y2PdW2 | the Alexandria database | PBE | optimized geometry
# relative energy among the computed polymorphs: 557 meV/atom
# formation energy: 734 meV per atom
data_Y2PdW2
_space_group_name_H-M_alt 'P 4/m b m'
_space_group_IT_number 127
_space_group_name_Hall '-P 4 2ab'
_cell_length_a 8.516
_cell_length_b 8.516
_cell_length_c 3.178
_cell_angle_alpha 90.00
_cell_angle_beta 90.00
_cell_angle_gamma 90.00
loop_
_atom_site_label
_atom_site_type_symbol
_atom_site_fract_x
_atom_site_fract_y
_atom_site_fract_z
Y1 Y 0.196 0.304 0.000
Pd1 Pd 0.000 0.000 0.000
W1 W 0.096 0.596 0.500

[3]
# ScVAs2Br | the Alexandria database | PBE | optimized geometry
# relative energy among the computed polymorphs: 350 meV/atom
data_ScVAs2Br
_space_group_name_H-M_alt 'P 4/m m m'
_space_group_IT_number 123
_space_group_name_Hall '-P 4 2'
_cell_length_a 5.097
_cell_length_b 5.097
_cell_length_c 5.199
_cell_angle_alpha 90.00
_cell_angle_beta 90.00
_cell_angle_gamma 90.00
loop_
_atom_site_label
_atom_site_type_symbol
_atom_site_fract_x
_atom_site_fract_y
_atom_site_fract_z
Sc1 Sc 0.000 0.000 0.000
V1 V 0.500 0.500 0.500
As1 As 0.000 0.500 0.000
Br1 Br 0.000 0.000 0.500

[4]
# Ta2Tl2CuSe6 | the Alexandria database | PBE | optimized geometry
# electronic total energy: -0.3933 Ry/atom
data_Ta2Tl2CuSe6
_space_group_name_H-M_alt 'C 1 2/m 1'
_space_group_IT_number 12
_space_group_name_Hall '-C 2y'
_cell_length_a 6.295
_cell_length_b 11.639
_cell_length_c 8.262
_cell_angle_alpha 90.00
_cell_angle_beta 106.98
_cell_angle_gamma 90.00
loop_
_atom_site_label
_atom_site_type_symbol
_atom_site_fract_x
_atom_site_fract_y
_atom_site_fract_z
Ta1 Ta 0.000 0.182 0.000
Tl1 Tl 0.000 0.350 0.500
Cu1 Cu 0.000 0.500 0.000
Se1 Se 0.233 0.000 0.164
Se2 Se 0.248 0.327 0.200

What did we get for V? Answer: 21.85; 23.05; 27.02; 26.31 A^3/atom, in the order shown.